No. 1
First-principles (PBE-GGA) data for a geometry-optimized LaOsPb2 structure, as listed in Alexandria.

CIF file:
```
data_LaOsPb2
_space_group_name_H-M_alt 'F m -3 m'
_space_group_IT_number 225
_space_group_name_Hall '-F 4 2 3'
_cell_length_a 7.254
_cell_length_b 7.254
_cell_length_c 7.254
_cell_angle_alpha 90.00
_cell_angle_beta 90.00
_cell_angle_gamma 90.00
loop_
_atom_site_label
_atom_site_fract_x
_atom_site_fract_y
_atom_site_fract_z
La1 0.000 0.000 0.000
Os1 0.000 0.000 0.500
Pb1 0.250 0.250 0.250
```

- Energy relative to the lowest polymorph listed for this composition: 0.160 eV/atom

***

No. 2
First-principles (PBE-GGA) data for a geometry-optimized LiTm2Ga structure, as listed in Alexandria.

CIF file:
```
data_LiTm2Ga
_space_group_name_H-M_alt 'P 4/m m m'
_space_group_IT_number 123
_space_group_name_Hall '-P 4 2'
_cell_length_a 4.953
_cell_length_b 4.953
_cell_length_c 3.679
_cell_angle_alpha 90.00
_cell_angle_beta 90.00
_cell_angle_gamma 90.00
loop_
_atom_site_label
_atom_site_fract_x
_atom_site_fract_y
_atom_site_fract_z
Li1 0.000 0.000 0.000
Tm1 0.000 0.500 0.500
Ga1 0.500 0.500 0.000
```

***

No. 3
First-principles (PBE-GGA) data for a geometry-optimized Zr2CuGe structure, as listed in Alexandria.

CIF file:
```
data_Zr2CuGe
_space_group_name_H-M_alt 'P 4/m m m'
_space_group_IT_number 123
_space_group_name_Hall '-P 4 2'
_cell_length_a 4.380
_cell_length_b 4.380
_cell_length_c 3.788
_cell_angle_alpha 90.00
_cell_angle_beta 90.00
_cell_angle_gamma 90.00
loop_
_atom_site_label
_atom_site_fract_x
_atom_site_fract_y
_atom_site_fract_z
Zr1 0.000 0.500 0.000
Cu1 0.000 0.000 0.500
Ge1 0.500 0.500 0.500
```

***

No. 4
First-principles (PBE-GGA) data for a geometry-optimized Nd2Dy5Co4 structure, as listed in Alexandria.

CIF file:
```
data_Nd2Dy5Co4
_space_group_name_H-M_alt 'C 1 2/m 1'
_space_group_IT_number 12
_cell_length_a 12.101
_cell_length_b 6.568
_cell_length_c 8.937
_cell_angle_alpha 90.00
_cell_angle_beta 128.37
_cell_angle_gamma 90.00
loop_
_space_group_symop_operation_xyz
'x,y,z'
'-x,-y,-z'
'-x,y,-z'
'x,-y,z'
'x+1/2,y+1/2,z'
'-x+1/2,-y+1/2,-z'
'-x+1/2,y+1/2,-z'
'x+1/2,-y+1/2,z'
loop_
_atom_site_label
_atom_site_fract_x
_atom_site_fract_y
_atom_site_fract_z
Nd1 0.219 0.000 0.122
Dy1 0.000 0.500 0.000
Dy2 0.073 0.241 0.394
Co1 0.172 0.000 0.785
Co2 0.218 0.500 0.343
```

***

Electronic total energy, respectively: -5.660 -3.762 -6.850 -5.497 eV/atom.
Formation enthalpy at 0 K, respectively: 0.23 -0.29 -0.40 0.05 eV/atom.
Total magnetic moment, respectively: 0.0 0.0 0.0 0.0 μB per formula unit.